w | ! AcCe2Pt GGA-PBE relaxed; values from VASP
&SYSTEM
  ibrav = 0, nat = 4, ntyp = 3
/
ATOMIC_SPECIES
Ce 140.12 Ce.upf
Ac 227.00 Ac.upf
Pt 195.08 Pt.upf
ATOMIC_POSITIONS crystal
Ce 0.060 0.060 0.821
Ac 0.500 0.500 0.499
Pt 0.666 0.666 0.001
Ce 0.274 0.274 0.179
CELL_PARAMETERS angstrom
-2.642 3.021 -0.237
-2.788 0.462 2.860
4.108 6.717 5.746
! * space group: R3m

x | ! AcCe2Pt GGA-PBE relaxed; values from VASP
&SYSTEM
  ibrav = 0, nat = 4, ntyp = 3
/
ATOMIC_SPECIES
Pt 195.08 Pt.upf
Ac 227.00 Ac.upf
Ce 140.12 Ce.upf
ATOMIC_POSITIONS crystal
Pt 0.500 0.500 0.500
Ac 0.000 0.000 0.000
Ce 0.889 0.889 0.333
Ce 0.111 0.111 0.667
CELL_PARAMETERS angstrom
-3.870 -0.296 0.326
-1.620 -0.602 3.491
-2.503 10.156 2.764
! * space group: R-3m

Bottom line: w, by a margin of 173 meV/atom.